PBE Mo2RuBr, optimized geometry; crystal system = tetragonal; total magnetic moment = 0.000 μB per atom; energy relative to the lowest polymorph listed for this composition = 0.517 eV/atom; raw formation energy = 0.927 eV/atom
1.0
-4.606 -1.211 2.119
-1.500 -4.992 -0.058
4.243 2.716 1.337
Mo Ru Br
2 1 1
direct
0.500 0.500 0.000
0.000 0.000 0.000
0.250 0.750 0.500
0.750 0.250 0.500